[1]
DFT (GGA-PBE) results for crystalline TbZn2GaNi4 at its relaxed geometry.

abc: 8.333 8.333 8.333
angles: 28.51 28.51 28.51
Atoms (fractional coordinates):
Tb 0.000 0.000 0.000
Zn 0.242 0.242 0.242
Zn 0.758 0.758 0.758
Ga 0.500 0.500 0.500
Ni 0.129 0.129 0.129
Ni 0.403 0.403 0.403
Ni 0.597 0.597 0.597
Ni 0.871 0.871 0.871

Computed properties:
total magnetization = 0.0 μB/f.u.
SG = R-3m, No. 166
energy of formation = -237.9 kJ/mol of formula units

=====

[2]
DFT (GGA-PBE) results for crystalline TbZnGa4Ni2 at its relaxed geometry.

abc: 9.075 9.075 9.075
angles: 26.40 26.40 26.40
Atoms (fractional coordinates):
Tb 0.000 0.000 0.000
Zn 0.500 0.500 0.500
Ga 0.123 0.123 0.123
Ga 0.399 0.399 0.399
Ga 0.601 0.601 0.601
Ga 0.877 0.877 0.877
Ni 0.232 0.232 0.232
Ni 0.768 0.768 0.768

Computed properties:
total magnetization = 0.0 μB/f.u.
SG = R-3m, No. 166
energy of formation = -264.1 kJ/mol of formula units

=====

[3]
DFT (GGA-PBE) results for crystalline Tb2Zn3GaNi12 at its relaxed geometry.

abc: 11.053 11.053 11.053
angles: 27.66 27.66 27.66
Atoms (fractional coordinates):
Tb 0.140 0.140 0.140
Tb 0.860 0.860 0.860
Zn 0.000 0.500 0.500
Zn 0.500 0.000 0.500
Zn 0.500 0.500 0.000
Ga 0.500 0.500 0.500
Ni 0.096 0.096 0.644
Ni 0.096 0.644 0.096
Ni 0.109 0.609 0.609
Ni 0.356 0.904 0.904
Ni 0.391 0.391 0.891
Ni 0.391 0.891 0.391
Ni 0.609 0.109 0.609
Ni 0.609 0.609 0.109
Ni 0.644 0.096 0.096
Ni 0.891 0.391 0.391
Ni 0.904 0.356 0.904
Ni 0.904 0.904 0.356

Computed properties:
total magnetization = 0.0 μB/f.u.
SG = R-3m, No. 166
energy of formation = -1.2 kJ/mol of formula units

=====

[4]
DFT (GGA-PBE) results for crystalline TbZnGaNi at its relaxed geometry.

abc: 4.576 4.576 4.576
angles: 60.00 60.00 60.00
Atoms (fractional coordinates):
Tb 0.000 0.000 0.000
Zn 0.750 0.750 0.750
Ga 0.500 0.500 0.500
Ni 0.250 0.250 0.250

Computed properties:
total magnetization = 0.0 μB/f.u.
SG = F-43m, No. 216
energy of formation = -141.7 kJ/mol of formula units